No. 1
## Ga5FeRu4 (GGA-PBE)

Data for an optimized crystal structure of Ga5FeRu4.

Computed properties:
size of the total moment	0.199	μB/atom
total DFT energy (no corrections)	-6.3214	eV/atom
E_form	-0.251	eV/atom

Structure (CIF):
```
data_Ga5FeRu4
_chemical_formula_sum 'Ga5 Fe1 Ru4'
_space_group_name_H-M_alt 'P 4/m m m'
_space_group_IT_number 123
_space_group_name_Hall '-P 4 2'
_cell_length_a 3.0326
_cell_length_b 3.0326
_cell_length_c 14.8907
_cell_angle_alpha 90.00
_cell_angle_beta 90.00
_cell_angle_gamma 90.00
loop_
_atom_site_label
_atom_site_type_symbol
_atom_site_fract_x
_atom_site_fract_y
_atom_site_fract_z
_atom_site_occupancy
Ga1 Ga 0.0000 0.0000 0.0000 1
Ga2 Ga 0.0000 0.0000 0.2036 1
Ga3 Ga 0.0000 0.0000 0.4040 1
Fe1 Fe 0.5000 0.5000 0.5000 1
Ru1 Ru 0.5000 0.5000 0.1018 1
Ru2 Ru 0.5000 0.5000 0.3077 1
```

No. 2
## LiCa3Te4 (GGA-PBE)

Data for an optimized crystal structure of LiCa3Te4.

Computed properties:
size of the total moment	0.000	μB/atom
total DFT energy (no corrections)	-3.8795	eV/atom

Structure (CIF):
```
data_LiCa3Te4
_chemical_formula_sum 'Li1 Ca3 Te4'
_space_group_name_H-M_alt 'P m -3 m'
_space_group_IT_number 221
_space_group_name_Hall '-P 4 2 3'
_cell_length_a 6.3208
_cell_length_b 6.3208
_cell_length_c 6.3208
_cell_angle_alpha 90.00
_cell_angle_beta 90.00
_cell_angle_gamma 90.00
loop_
_atom_site_label
_atom_site_type_symbol
_atom_site_fract_x
_atom_site_fract_y
_atom_site_fract_z
_atom_site_occupancy
Li1 Li 0.0000 0.0000 0.0000 1
Ca1 Ca 0.0000 0.5000 0.5000 1
Te1 Te 0.0000 0.0000 0.5000 1
Te2 Te 0.5000 0.5000 0.5000 1
```

No. 3
## YFeNi2B (GGA-PBE)

Data for an optimized crystal structure of YFeNi2B.

Computed properties:
size of the total moment	0.019	μB/atom
total DFT energy (no corrections)	-6.9435	eV/atom
E_form	-0.310	eV/atom

Structure (CIF):
```
data_YFeNi2B
_chemical_formula_sum 'Y1 Fe1 Ni2 B1'
_space_group_name_H-M_alt 'P 4/m m m'
_space_group_IT_number 123
_space_group_name_Hall '-P 4 2'
_cell_length_a 3.9976
_cell_length_b 3.9976
_cell_length_c 3.9840
_cell_angle_alpha 90.00
_cell_angle_beta 90.00
_cell_angle_gamma 90.00
loop_
_atom_site_label
_atom_site_type_symbol
_atom_site_fract_x
_atom_site_fract_y
_atom_site_fract_z
_atom_site_occupancy
Y1 Y 0.0000 0.0000 0.0000 1
Fe1 Fe 0.5000 0.5000 0.0000 1
Ni1 Ni 0.0000 0.5000 0.5000 1
B1 B 0.5000 0.5000 0.5000 1
```

No. 4
## Nd2YPa (GGA-PBE)

Data for an optimized crystal structure of Nd2YPa.

Computed properties:
size of the total moment	0.000	μB/atom
total DFT energy (no corrections)	-6.0539	eV/atom
E_form	0.320	eV/atom

Structure (CIF):
```
data_Nd2YPa
_chemical_formula_sum 'Nd6 Y3 Pa3'
_space_group_name_H-M_alt 'R -3 m'
_space_group_IT_number 166
_space_group_name_Hall '-R 3 2"'
_cell_length_a 3.3910
_cell_length_b 3.3910
_cell_length_c 37.5290
_cell_angle_alpha 90.00
_cell_angle_beta 90.00
_cell_angle_gamma 120.00
loop_
_atom_site_label
_atom_site_type_symbol
_atom_site_fract_x
_atom_site_fract_y
_atom_site_fract_z
_atom_site_occupancy
Nd1 Nd 0.0000 0.0000 0.0860 1
Y1 Y 0.0000 0.0000 0.5000 1
Pa1 Pa 0.0000 0.0000 0.0000 1
```

No. 5
## PdBrF3 (GGA-PBE)

Data for an optimized crystal structure of PdBrF3.

Computed properties:
size of the total moment	0.070	μB/atom
total DFT energy (no corrections)	-3.3759	eV/atom

Structure (CIF):
```
data_PdBrF3
_chemical_formula_sum 'Pd2 Br2 F6'
_space_group_name_H-M_alt 'P -1'
_space_group_IT_number 2
_space_group_name_Hall '-P 1'
_cell_length_a 3.8187
_cell_length_b 6.0285
_cell_length_c 8.8619
_cell_angle_alpha 100.33
_cell_angle_beta 101.15
_cell_angle_gamma 100.75
loop_
_atom_site_label
_atom_site_type_symbol
_atom_site_fract_x
_atom_site_fract_y
_atom_site_fract_z
_atom_site_occupancy
Pd1 Pd 0.1755 0.1452 0.3924 1
Br1 Br 0.3186 0.6067 0.9398 1
F1 F 0.0531 0.1521 0.1692 1
F2 F 0.2914 0.1085 0.6197 1
F3 F 0.3319 0.6685 0.5863 1
```

No. 6
## Tm8Te2Ir3 (GGA-PBE)

Data for an optimized crystal structure of Tm8Te2Ir3.

Computed properties:
size of the total moment	0.000	μB/atom
total DFT energy (no corrections)	-6.0678	eV/atom

Structure (CIF):
```
data_Tm8Te2Ir3
_chemical_formula_sum 'Tm16 Te4 Ir6'
_space_group_name_H-M_alt 'C m m m'
_space_group_IT_number 65
_space_group_name_Hall '-C 2 2'
_cell_length_a 9.5681
_cell_length_b 15.1153
_cell_length_c 4.7561
_cell_angle_alpha 90.00
_cell_angle_beta 90.00
_cell_angle_gamma 90.00
loop_
_atom_site_label
_atom_site_type_symbol
_atom_site_fract_x
_atom_site_fract_y
_atom_site_fract_z
_atom_site_occupancy
Tm1 Tm 0.0000 0.1047 0.0000 1
Tm2 Tm 0.0000 0.3882 0.0000 1
Tm3 Tm 0.2468 0.3921 0.5000 1
Te1 Te 0.0000 0.2430 0.5000 1
Ir1 Ir 0.0000 0.5000 0.5000 1
Ir2 Ir 0.2481 0.5000 0.0000 1
```

No. 7
## Na3ScPd (GGA-PBE)

Data for an optimized crystal structure of Na3ScPd.

Computed properties:
size of the total moment	0.290	μB/atom
total DFT energy (no corrections)	-2.5933	eV/atom
E_form	0.503	eV/atom

Structure (CIF):
```
data_Na3ScPd
_chemical_formula_sum 'Na3 Sc1 Pd1'
_space_group_name_H-M_alt 'P m -3 m'
_space_group_IT_number 221
_space_group_name_Hall '-P 4 2 3'
_cell_length_a 5.3428
_cell_length_b 5.3428
_cell_length_c 5.3428
_cell_angle_alpha 90.00
_cell_angle_beta 90.00
_cell_angle_gamma 90.00
loop_
_atom_site_label
_atom_site_type_symbol
_atom_site_fract_x
_atom_site_fract_y
_atom_site_fract_z
_atom_site_occupancy
Na1 Na 0.0000 0.0000 0.5000 1
Sc1 Sc 0.5000 0.5000 0.5000 1
Pd1 Pd 0.0000 0.0000 0.0000 1
```

No. 8
## GaBRu3 (GGA-PBE)

Data for an optimized crystal structure of GaBRu3.

Computed properties:
size of the total moment	0.000	μB/atom
total DFT energy (no corrections)	-7.5508	eV/atom
E_form	-0.044	eV/atom

Structure (CIF):
```
data_GaBRu3
_chemical_formula_sum 'Ga2 B2 Ru6'
_space_group_name_H-M_alt 'P 63/m m c'
_space_group_IT_number 194
_space_group_name_Hall '-P 6c 2c'
_cell_length_a 5.6889
_cell_length_b 5.6889
_cell_length_c 4.6591
_cell_angle_alpha 90.00
_cell_angle_beta 90.00
_cell_angle_gamma 120.00
loop_
_atom_site_label
_atom_site_type_symbol
_atom_site_fract_x
_atom_site_fract_y
_atom_site_fract_z
_atom_site_occupancy
Ga1 Ga 0.3333 0.6667 0.2500 1
B1 B 0.0000 0.0000 0.0000 1
Ru1 Ru 0.1757 0.3514 0.7500 1
```

> size of the total moment of number 8 (GaBRu3)?

0.000 μB/atom

What did the first record say?
## Ga5FeRu4 (GGA-PBE)

Data for an optimized crystal structure of Ga5FeRu4.

Computed properties:
size of the total moment	0.199	μB/atom
total DFT energy (no corrections)	-6.3214	eV/atom
E_form	-0.251	eV/atom

Structure (CIF):
```
data_Ga5FeRu4
_chemical_formula_sum 'Ga5 Fe1 Ru4'
_space_group_name_H-M_alt 'P 4/m m m'
_space_group_IT_number 123
_space_group_name_Hall '-P 4 2'
_cell_length_a 3.0326
_cell_length_b 3.0326
_cell_length_c 14.8907
_cell_angle_alpha 90.00
_cell_angle_beta 90.00
_cell_angle_gamma 90.00
loop_
_atom_site_label
_atom_site_type_symbol
_atom_site_fract_x
_atom_site_fract_y
_atom_site_fract_z
_atom_site_occupancy
Ga1 Ga 0.0000 0.0000 0.0000 1
Ga2 Ga 0.0000 0.0000 0.2036 1
Ga3 Ga 0.0000 0.0000 0.4040 1
Fe1 Fe 0.5000 0.5000 0.5000 1
Ru1 Ru 0.5000 0.5000 0.1018 1
Ru2 Ru 0.5000 0.5000 0.3077 1
```

> What is the size of the total moment in the seventh record?

0.290 μB/atom